Entry 1:
## LiAl6Pt2 (PBE)

Data for a relaxed structure of LiAl6Pt2.

Computed properties:
Energy = -4.579 eV per atom
DOS(E_F) = 0.325 states/eV/atom
DFT formation energy = -0.53 eV per atom

CIF file:
```
data_LiAl6Pt2
_chemical_formula_sum 'Li1 Al6 Pt2'
_cell_length_a 4.766
_cell_length_b 5.022
_cell_length_c 6.990
_cell_angle_alpha 88.08
_cell_angle_beta 73.97
_cell_angle_gamma 66.96
_symmetry_space_group_name_H-M 'P -1'
_symmetry_Int_Tables_number 2
loop_
_symmetry_equiv_pos_as_xyz
'x,y,z'
'-x,-y,-z'
loop_
_atom_site_label
_atom_site_fract_x
_atom_site_fract_y
_atom_site_fract_z
_atom_site_occupancy
Li1 0.000 0.000 0.000 1
Al1 0.081 0.646 0.321 1
Al2 0.354 0.323 0.956 1
Al3 0.381 0.774 0.584 1
Pt1 0.224 0.099 0.296 1
```

Entry 2:
## Li2AlPt (PBE)

Data for a relaxed structure of Li2AlPt.

Computed properties:
Energy = -4.106 eV per atom
DOS(E_F) = 0.393 states/eV/atom
DFT formation energy = -0.70 eV per atom

CIF file:
```
data_Li2AlPt
_chemical_formula_sum 'Li4 Al2 Pt2'
_cell_length_a 6.052
_cell_length_b 6.010
_cell_length_c 4.282
_cell_angle_alpha 90.00
_cell_angle_beta 134.66
_cell_angle_gamma 90.00
_symmetry_space_group_name_H-M 'C 1 2 1'
_symmetry_Int_Tables_number 5
loop_
_symmetry_equiv_pos_as_xyz
'x,y,z'
'-x,y,-z'
'x+1/2,y+1/2,z'
'-x+1/2,y+1/2,-z'
loop_
_atom_site_label
_atom_site_fract_x
_atom_site_fract_y
_atom_site_fract_z
_atom_site_occupancy
Li1 0.000 0.000 0.000 1
Li2 0.000 0.249 0.500 1
Al1 0.000 0.750 0.500 1
Pt1 0.000 0.499 0.000 1
```

Entry 3:
## LiAlPt2 (PBE)

Data for a relaxed structure of LiAlPt2.

Computed properties:
Energy = -5.359 eV per atom
DOS(E_F) = 0.250 states/eV/atom
DFT formation energy = -0.92 eV per atom

CIF file:
```
data_LiAlPt2
_chemical_formula_sum 'Li1 Al1 Pt2'
_cell_length_a 4.070
_cell_length_b 4.070
_cell_length_c 3.327
_cell_angle_alpha 90.00
_cell_angle_beta 90.00
_cell_angle_gamma 90.00
_symmetry_space_group_name_H-M 'P 4/m m m'
_symmetry_Int_Tables_number 123
_symmetry_space_group_name_Hall '-P 4 2'
loop_
_atom_site_label
_atom_site_fract_x
_atom_site_fract_y
_atom_site_fract_z
_atom_site_occupancy
Li1 0.000 0.000 0.000 1
Al1 0.500 0.500 0.000 1
Pt1 0.000 0.500 0.500 1
```

Entry 4:
## LiAl2Pt2 (PBE)

Data for a relaxed structure of LiAl2Pt2.

Computed properties:
Energy = -5.082 eV per atom
DOS(E_F) = 0.214 states/eV/atom
DFT formation energy = -0.79 eV per atom
Excess energy over the best structure of this formula in the dataset = 0.85 eV per formula unit

CIF file:
```
data_LiAl2Pt2
_chemical_formula_sum 'Li2 Al4 Pt4'
_cell_length_a 3.901
_cell_length_b 3.901
_cell_length_c 11.434
_cell_angle_alpha 90.00
_cell_angle_beta 90.00
_cell_angle_gamma 90.00
_symmetry_space_group_name_H-M 'I 4/m m m'
_symmetry_Int_Tables_number 139
_symmetry_space_group_name_Hall '-I 4 2'
loop_
_atom_site_label
_atom_site_fract_x
_atom_site_fract_y
_atom_site_fract_z
_atom_site_occupancy
Li1 0.000 0.000 0.000 1
Al1 0.000 0.500 0.250 1
Pt1 0.000 0.000 0.386 1
```